{"formula": "NaMgSe2S", "functional": "PBE", "state": "relaxed", "magmom_total_mub_per_atom": 0.216, "vol_a3_per_cell": 147, "e_form_raw_ev_per_atom": 0.662, "lattice_angstrom": [[4.851, 0.000, 0.000], [0.000, 6.226, 0.000], [0.000, 0.000, 4.851]], "species": ["S", "Se", "Se", "Na", "Mg"], "fractional_positions": [[0.500, 0.500, 0.500], [0.000, 0.000, 0.500], [0.500, 0.000, 0.000], [0.000, 0.000, 0.000], [0.000, 0.500, 0.000]]}


{"formula": "Ba2TbSnO6", "functional": "PBE", "state": "relaxed", "magmom_total_mub_per_atom": 0.100, "vol_a3_per_cell": 162, "e_form_raw_ev_per_atom": -2.486, "lattice_angstrom": [[6.124, 0.000, 0.000], [3.062, 5.303, 0.000], [3.062, 1.768, 5.000]], "species": ["O", "O", "O", "O", "O", "O", "Sn", "Tb", "Ba", "Ba"], "fractional_positions": [[0.259, 0.259, 0.741], [0.259, 0.741, 0.259], [0.741, 0.259, 0.741], [0.259, 0.741, 0.741], [0.741, 0.741, 0.259], [0.741, 0.259, 0.259], [0.500, 0.500, 0.500], [0.000, 0.000, 0.000], [0.750, 0.750, 0.750], [0.250, 0.250, 0.250]]}